*1*
# NaBH2

NaBH2 after structural relaxation (GGA-PBE, the Alexandria database).

Cell: 4.013 4.013 5.349 Å, 67.97 67.97 90.00°
Fractional coordinates of all 8 atoms:
Na1 0.000 0.000 0.000
Na2 0.750 0.250 0.500
B1 0.500 0.500 0.000
B2 0.250 0.750 0.500
H1 0.375 0.125 0.250
H2 0.375 0.625 0.250
H3 0.375 0.625 0.750
H4 0.875 0.625 0.750

## Properties
**Space group**: I4_1/amd (141)


*2*
# NaBH2

NaBH2 after structural relaxation (GGA-PBE, the Alexandria database).

Cell: 4.226 3.932 5.754 Å, 101.75 102.26 95.22°
Fractional coordinates of all 8 atoms:
Na1 0.620 0.553 0.890
Na2 0.040 0.008 0.581
B1 0.180 0.163 0.097
B2 0.481 0.395 0.374
H1 0.449 0.078 0.226
H2 0.694 0.552 0.304
H3 0.966 0.007 0.167
H4 0.212 0.481 0.244

## Properties
**Space group**: P-1 (2)


*3*
# NaBH2

NaBH2 after structural relaxation (GGA-PBE, the Alexandria database).

Cell: 3.702 3.702 3.702 Å, 60.00 60.00 60.00°
Fractional coordinates of all 4 atoms:
Na1 0.500 0.500 0.500
B1 0.000 0.000 0.000
H1 0.250 0.250 0.250
H2 0.750 0.750 0.750

## Properties
**Space group**: Fm-3m (225)


Quick one: most stable of them? *2*


*1*
# Na2BH

Na2BH after structural relaxation (GGA-PBE, the Alexandria database).

Cell: 4.518 4.518 4.518 Å, 60.00 60.00 60.00°
Site moments in Bohr magnetons follow the coordinates.
Fractional coordinates of all 4 atoms:
Na1 0.250 0.250 0.250  0.03
Na2 0.750 0.750 0.750  0.03
B1 0.500 0.500 0.500  0.46
H1 0.000 0.000 0.000  -0.03

## Properties
**Space group**: Fm-3m (225)


*2*
# Na2BH

Na2BH after structural relaxation (GGA-PBE, the Alexandria database).

Cell: 6.613 6.613 5.550 Å, 53.43 53.43 90.00°
Fractional coordinates of all 8 atoms:
Na1 0.561 0.125 0.250
Na2 0.189 0.625 0.250
Na3 0.375 0.439 0.750
Na4 0.875 0.811 0.750
B1 0.000 0.000 0.000
B2 0.750 0.250 0.500
H1 0.500 0.500 0.000
H2 0.250 0.750 0.500

## Properties
**Space group**: I-42d (122)


Quick one: most stable of them? *2*


*1*
# Nb2BH

Nb2BH after structural relaxation (GGA-PBE, the Alexandria database).

Cell: 3.228 3.228 6.357 Å, 75.29 75.29 60.00°
Fractional coordinates of all 4 atoms:
H1 0.000 0.000 0.000
Nb1 0.098 0.098 0.707
Nb2 0.902 0.902 0.293
B1 0.500 0.500 0.500

## Properties
**Space group**: R-3m (166)


*2*
# Nb2BH

Nb2BH after structural relaxation (GGA-PBE, the Alexandria database).

Cell: 4.019 4.019 4.019 Å, 60.00 60.00 60.00°
Fractional coordinates of all 4 atoms:
H1 0.000 0.000 0.000
Nb1 0.250 0.250 0.250
Nb2 0.750 0.750 0.750
B1 0.500 0.500 0.500

## Properties
**Space group**: Fm-3m (225)


Quick one: most stable of them? *1*


*1*
# Nb2BH

Nb2BH after structural relaxation (GGA-PBE, the Alexandria database).

Cell: 5.724 5.724 4.941 Å, 54.60 54.60 90.00°
Fractional coordinates of all 8 atoms:
H1 0.500 0.500 0.000
H2 0.250 0.750 0.500
Nb1 0.586 0.125 0.250
Nb2 0.164 0.625 0.250
Nb3 0.375 0.414 0.750
Nb4 0.875 0.836 0.750
B1 0.000 0.000 0.000
B2 0.750 0.250 0.500

## Properties
**Space group**: I-42d (122)


*2*
# Nb2BH

Nb2BH after structural relaxation (GGA-PBE, the Alexandria database).

Cell: 3.222 5.231 5.452 Å, 90.00 90.00 90.00°
Fractional coordinates of all 8 atoms:
Nb1 0.500 0.750 0.835
Nb2 0.500 0.250 0.165
Nb3 0.000 0.250 0.665
Nb4 0.000 0.750 0.335
B1 0.500 0.000 0.500
B2 0.500 0.500 0.500
H1 0.000 0.500 0.000
H2 0.000 0.000 0.000

## Properties
**Space group**: Pmma (51)


Quick one: most stable of them? *2*


*1*
# Nb4B2H

Nb4B2H after structural relaxation (GGA-PBE, the Alexandria database).

Cell: 3.187 5.551 6.072 Å, 118.03 105.21 90.00°
Fractional coordinates of all 7 atoms:
Nb1 0.878 0.216 0.757
Nb2 0.122 0.784 0.243
Nb3 0.622 0.287 0.245
Nb4 0.378 0.713 0.755
B1 0.748 0.749 0.496
B2 0.252 0.251 0.504
H1 0.000 0.000 0.000

## Properties
**Space group**: C2/m (12)


*2*
# Nb4B2H

Nb4B2H after structural relaxation (GGA-PBE, the Alexandria database).

Cell: 3.658 3.658 7.180 Å, 75.24 75.24 90.00°
Fractional coordinates of all 7 atoms:
H1 0.000 0.000 0.000
Nb1 0.183 0.183 0.633
Nb2 0.817 0.817 0.367
Nb3 0.000 0.500 0.000
Nb4 0.500 0.000 0.000
B1 0.363 0.363 0.275
B2 0.637 0.637 0.725

## Properties
**Space group**: I4/mmm (139)


Quick one: most stable of them? *1*


*1*
# NdBH

NdBH after structural relaxation (GGA-PBE, the Alexandria database).

Cell: 3.654 3.198 8.912 Å, 90.00 51.97 90.00°
Fractional coordinates of all 6 atoms:
Nd1 0.013 0.291 0.495
Nd2 0.232 0.791 0.017
B1 0.087 0.291 0.779
B2 0.158 0.791 0.733
H1 0.530 0.291 0.150
H2 0.715 0.791 0.362

## Properties
**Space group**: P2_1/m (11)


*2*
# NdBH

NdBH after structural relaxation (GGA-PBE, the Alexandria database).

Cell: 7.568 5.073 7.095 Å, 90.00 90.00 138.44°
Fractional coordinates of all 12 atoms:
H1 0.637 0.456 0.562
H2 0.863 0.544 0.062
H3 0.363 0.544 0.438
H4 0.137 0.456 0.938
B1 0.453 0.073 0.569
B2 0.047 0.927 0.069
B3 0.547 0.927 0.431
B4 0.953 0.073 0.931
Nd1 0.547 0.446 0.242
Nd2 0.953 0.554 0.742
Nd3 0.453 0.554 0.758
Nd4 0.047 0.446 0.258

## Properties
**Space group**: P2_1/c (14)


Quick one: most stable of them? *1*